Entry from Alexandria: Ni2P after structural relaxation (PBE).

Summary:
The formation energy is 0.3240 eV/atom. The calculation puts the electronic total energy at -16.0 eV per formula unit. As for the calculated density: 6.8 g/cm³. The value obtained for the magnetic moment is 0.68 μB/f.u.

abc: 6.6243 6.6243 6.6243
angles: 90.00 90.00 90.00
Space group Fd-3m (No. 227, origin choice 2)
Unique sites:
Ni  0.0000  0.0000  0.0000 (multiplicity 16)
P  0.1250  0.1250  0.6250 (multiplicity 8)

=====

Entry from Alexandria: Fe2AgPt after structural relaxation (PBE).

Summary:
The formation energy is 0.0745 eV/atom. The calculation puts the electronic total energy at -25.5 eV per formula unit. As for the calculated density: 11.8 g/cm³. The value obtained for the magnetic moment is 6.18 μB/f.u.

abc: 2.7483 3.8745 5.4767
angles: 90.00 90.00 90.00
Space group Pmmm (No. 47)
Unique sites:
Fe  0.0000  0.0000  0.2301 (multiplicity 2)
Ag  0.5000  0.5000  0.5000 (multiplicity 1)
Pt  0.5000  0.5000  0.0000 (multiplicity 1)

=====

Entry from Alexandria: Tb3Sm7Er after structural relaxation (PBE).

Summary:
The formation energy is 0.1249 eV/atom. The calculation puts the electronic total energy at -50.1 eV per formula unit. As for the calculated density: 7.6 g/cm³. As for the energy relative to the lowest polymorph listed for this composition: 0.0000 eV per atom. The value obtained for the magnetic moment is 0.00 μB/f.u.

abc: 7.0470 5.6145 10.0001
angles: 90.00 110.39 90.00
Space group P2/m (No. 10)
Unique sites:
Tb  0.0000  0.0000  0.0000 (multiplicity 1)
Tb  0.2799  0.5000  0.4998 (multiplicity 2)
Sm  0.0000  0.0000  0.5000 (multiplicity 1)
Sm  0.1449  0.5000  0.7915 (multiplicity 2)
Sm  0.3220  0.5000  0.1391 (multiplicity 2)
Sm  0.4151  0.0000  0.3289 (multiplicity 2)
Er  0.5000  0.0000  0.0000 (multiplicity 1)

=====

Entry from Alexandria: Ce2Th2Ga4Co after structural relaxation (PBE).

Summary:
The formation energy is -0.3625 eV/atom. The calculation puts the electronic total energy at -49.2 eV per formula unit. As for the calculated density: 8.7 g/cm³. The value obtained for the magnetic moment is 1.03 μB/f.u.

abc: 7.3217 7.3217 7.6715
angles: 90.00 90.00 90.00
Space group I4/mmm (No. 139)
Unique sites:
Ce  0.0000  0.0000  0.1880 (multiplicity 4)
Th  0.0000  0.5000  0.2500 (multiplicity 4)
Ga  0.2332  0.2332  0.5000 (multiplicity 8)
Co  0.0000  0.0000  0.5000 (multiplicity 2)

=====

Entry from Alexandria: TaPtSe2F after structural relaxation (PBE).

Summary:
The calculation puts the electronic total energy at -28.9 eV per formula unit. As for the calculated density: 9.3 g/cm³. The value obtained for the magnetic moment is 0.00 μB/f.u.

abc: 4.9951 4.9951 3.9664
angles: 90.00 90.00 90.00
Space group P4/mmm (No. 123)
Unique sites:
Ta  0.0000  0.0000  0.0000 (multiplicity 1)
Pt  0.5000  0.5000  0.5000 (multiplicity 1)
Se  0.0000  0.5000  0.0000 (multiplicity 2)
F  0.0000  0.0000  0.5000 (multiplicity 1)

=====

Entry from Alexandria: Ga2Te5 after structural relaxation (PBE).

Summary:
The calculation puts the electronic total energy at -23.4 eV per formula unit. As for the calculated density: 5.5 g/cm³. The value obtained for the magnetic moment is 0.00 μB/f.u.

abc: 8.1877 8.1877 6.9636
angles: 90.00 90.00 90.00
Space group I4/m (No. 87)
Unique sites:
Ga  0.0000  0.5000  0.2500 (multiplicity 4)
Te  0.0000  0.0000  0.0000 (multiplicity 2)
Te  0.1735  0.6789  0.5000 (multiplicity 8)

=====

Entry from Alexandria: AsIBrN2 after structural relaxation (PBE).

Summary:
The calculation puts the electronic total energy at -17.4 eV per formula unit. As for the calculated density: 4.3 g/cm³. As for the energy relative to the lowest polymorph listed for this composition: 0.0000 eV per atom. The value obtained for the magnetic moment is 1.45 μB/f.u.

abc: 3.9589 3.9589 7.6411
angles: 90.00 90.00 90.00
Space group P4/mmm (No. 123)
Unique sites:
As  0.0000  0.0000  0.0000 (multiplicity 1)
I  0.0000  0.0000  0.5000 (multiplicity 1)
Br  0.5000  0.5000  0.5000 (multiplicity 1)
N  0.0000  0.5000  0.0000 (multiplicity 2)

=====

Entry from Alexandria: PaFeRuRh after structural relaxation (PBE).

Summary:
The formation energy is -0.2375 eV/atom. The calculation puts the electronic total energy at -35.5 eV per formula unit. As for the calculated density: 12.1 g/cm³. The value obtained for the magnetic moment is 3.13 μB/f.u.

abc: 6.4599 6.4599 6.4599
angles: 90.00 90.00 90.00
Space group F-43m (No. 216)
Unique sites:
Pa  0.0000  0.0000  0.0000 (multiplicity 4)
Fe  0.0000  0.0000  0.5000 (multiplicity 4)
Ru  0.2500  0.2500  0.7500 (multiplicity 4)
Rh  0.2500  0.2500  0.2500 (multiplicity 4)